NdY3Zr2N6: relaxed, GGA-PBE.

abc: 7.6486 7.6486 6.8791
angles: 102.81 102.81 25.83
Fractional positions:
Nd  0.0000  0.0000  0.0000
Y  0.0000  0.0000  0.5000
Y  0.3324  0.3324  0.1680
Y  0.6676  0.6676  0.8320
Zr  0.3320  0.3320  0.6633
Zr  0.6680  0.6680  0.3367
N  0.1716  0.1716  0.1025
N  0.1719  0.1719  0.5743
N  0.4907  0.4907  0.7349
N  0.5093  0.5093  0.2651
N  0.8281  0.8281  0.4257
N  0.8284  0.8284  0.8975

* DFT total energy: -9.23 eV/atom